(1)
Density functional theory data (SCAN) for a PBEsol-optimized structure of MnBiSe2.

- density of states at the Fermi level (states/eV per cell) = 3.55
- formation energy (no corrections) (eV per atom) = -0.3012
- theoretical density (g/cm3) = 7.6

Unit cell a=7.267 b=6.215 c=7.267 alpha=54.23 beta=90.00 gamma=125.77
Last column: magnetic moment on the atom in μB.
Element x y z (fractional)
Se  0.176  0.750  0.875  -0.01
Se  0.574  0.750  0.375  -0.01
Se  0.375  0.250  0.176  -0.01
Se  0.875  0.250  0.574  -0.01
Mn  0.500  0.000  0.500  4.19
Mn  0.250  0.500  0.250  4.19
Bi  0.750  0.500  0.750  -0.04
Bi  0.000  0.000  0.000  -0.04

---

(2)
Density functional theory data (SCAN) for a PBEsol-optimized structure of Mn3WC.

- density of states at the Fermi level (states/eV per cell) = 5.76
- energy relative to the lowest polymorph listed for this composition (meV/atom) = 2354.4
- theoretical density (g/cm3) = 6.5
- calculated formation energy (eV/atom) = 2.4297

Unit cell a=4.510 b=4.510 c=4.510 alpha=90.00 beta=90.00 gamma=90.00
Last column: magnetic moment on the atom in μB.
Element x y z (fractional)
C  0.500  0.500  0.500  -0.56
Mn  0.500  0.000  0.000  3.36
Mn  0.000  0.000  0.500  3.36
Mn  0.000  0.500  0.000  3.36
W  0.000  0.000  0.000  -1.10

---

(3)
Density functional theory data (SCAN) for a PBEsol-optimized structure of Ho2Ni12P7.

- density of states at the Fermi level (states/eV per cell) = 12.08
- theoretical density (g/cm3) = 8.3
- calculated formation energy (eV/atom) = -0.8047

Unit cell a=3.632 b=8.917 c=8.917 alpha=120.00 beta=90.00 gamma=90.00
Element x y z (fractional)
P  0.000  0.110  0.705
P  0.500  0.887  0.293
P  0.500  0.406  0.113
P  0.500  0.000  0.000
P  0.000  0.594  0.890
P  0.500  0.707  0.594
P  0.000  0.295  0.406
Ni  0.500  0.124  0.275
Ni  0.500  0.725  0.849
Ni  0.500  0.625  0.061
Ni  0.000  0.570  0.619
Ni  0.000  0.905  0.785
Ni  0.500  0.939  0.565
Ni  0.000  0.050  0.430
Ni  0.000  0.879  0.095
Ni  0.000  0.215  0.121
Ni  0.000  0.381  0.950
Ni  0.500  0.435  0.375
Ni  0.500  0.151  0.876
Ho  0.000  0.667  0.333
Ho  0.500  0.333  0.667

---

(4)
Density functional theory data (SCAN) for a PBEsol-optimized structure of NaNb2IN.

- density of states at the Fermi level (states/eV per cell) = 5.12
- formation energy (no corrections) (eV per atom) = 0.0775
- theoretical density (g/cm3) = 6.2

Unit cell a=4.180 b=4.180 c=5.359 alpha=90.00 beta=90.00 gamma=90.00
Element x y z (fractional)
I  0.500  0.500  0.500
Na  0.000  0.000  0.500
Nb  0.000  0.500  0.000
Nb  0.500  0.000  0.000
N  0.000  0.000  0.000